[1]
## Y3Ir (GGA-PBE)

Data for Y3Ir after structural relaxation.

Cell lengths 11.0006, 11.0006, 11.0006 Å; angles 157.13, 157.13, 32.56 degrees
With the nearest neighbours (Å) after each atom.
Fractional coordinates of all 8 atoms:
Y  0.5000  0.0000  0.5000  8 Y 3.08-3.40, 4 Ir 3.16
Y  0.0000  0.5000  0.5000  8 Y 3.08-3.40, 4 Ir 3.16
Y  0.7500  0.2500  0.5000  8 Y 3.08-3.45
Y  0.2500  0.7500  0.5000  8 Y 3.08-3.45
Y  0.1235  0.1235  0.0000  4 Ir 3.10, 8 Y 3.40-3.45
Y  0.8765  0.8765  0.0000  4 Ir 3.10, 8 Y 3.40-3.45
Ir  0.3919  0.3919  0.0000  8 Y 3.10-3.16
Ir  0.6081  0.6081  0.0000  8 Y 3.10-3.16

## Properties
The value obtained for the formation energy is -0.1419 eV per atom. The space-group type is I4/mmm. The value obtained for the energy is -7.205 eV/atom.



[2]
## Ac3NiPb (GGA-PBE)

Data for Ac3NiPb after structural relaxation.

Cell lengths 7.1449, 10.8023, 11.6834 Å; angles 126.65, 90.00, 90.00 degrees
With the nearest neighbours (Å) after each atom.
Fractional coordinates of all 20 atoms:
Ac  0.0692  0.7172  0.6428  3 Ni 2.84-2.90
Ac  0.9308  0.2828  0.3572  3 Ni 2.84-2.90
Ac  0.5692  0.7828  0.8572  3 Ni 2.84-2.90
Ac  0.4308  0.2172  0.1428  3 Ni 2.84-2.90
Ac  0.5810  0.6445  0.4522  2 Ni 2.88-3.18
Ac  0.4190  0.3555  0.5478  2 Ni 2.88-3.18
Ac  0.0810  0.8555  0.0478  2 Ni 2.88-3.18
Ac  0.9190  0.1445  0.9522  2 Ni 2.88-3.18
Ac  0.1133  0.6169  0.2301  1 Ni 3.09
Ac  0.8867  0.3831  0.7699  1 Ni 3.09
Ac  0.6133  0.8831  0.2699  1 Ni 3.09
Ac  0.3867  0.1169  0.7301  1 Ni 3.09
Ni  0.2360  0.4746  0.3820  5 Ac 2.84-3.09
Ni  0.7640  0.5254  0.6180  5 Ac 2.84-3.09
Ni  0.7360  0.0254  0.1180  5 Ac 2.84-3.09
Ni  0.2640  0.9746  0.8820  5 Ac 2.84-3.09
Pb  0.8445  0.9793  0.5863  1 Pb 3.21, 5 Ac 3.51-3.59
Pb  0.1555  0.0207  0.4137  1 Pb 3.21, 5 Ac 3.51-3.59
Pb  0.3445  0.5207  0.9137  1 Pb 3.21, 5 Ac 3.51-3.59
Pb  0.6555  0.4793  0.0863  1 Pb 3.21, 5 Ac 3.51-3.59

## Properties
The value obtained for the formation energy is -0.3064 eV per atom. The space-group type is P2_1/c. The value obtained for the energy is -4.669 eV/atom.



Mass density readings, ordered: 7.59; 8.69 g/cm3
D(E_F) readings, ordered: 9.29; 14.25 states/eV per cell